# 1
# AgAsW

A relaxed AgAsW crystal (PBE-GGA, the Open Quantum Materials Database).

The structure in POSCAR format:
```
AgAsW
1.0
0.000 3.133 3.133
3.133 0.000 3.133
3.133 3.133 0.000
Ag As W
1 1 1
direct
0.000 0.000 0.000
0.750 0.750 0.750
0.250 0.250 0.250
```

Summary:
Excess energy over the best structure of this formula in the dataset (meV/atom): 687
Magnetic moment (μB per cell): 2.8
Calculated total energy (eV for the cell shown): -16.0



# 2
# AgAs2W

A relaxed AgAs2W crystal (PBE-GGA, the Open Quantum Materials Database).

The structure in POSCAR format:
```
AgAs2W
1.0
0.000 3.262 3.262
3.262 0.000 3.262
3.262 3.262 0.000
Ag As W
1 2 1
direct
0.000 0.000 0.000
0.250 0.250 0.250
0.500 0.500 0.500
0.750 0.750 0.750
```

Summary:
Magnetic moment (μB per cell): 0.5
Calculated total energy (eV for the cell shown): -21.6



# 3
# AgAsW

A relaxed AgAsW crystal (PBE-GGA, the Open Quantum Materials Database).

The structure in POSCAR format:
```
AgAsW
1.0
0.000 3.085 3.085
3.085 0.000 3.085
3.085 3.085 0.000
Ag As W
1 1 1
direct
0.000 0.000 0.000
0.500 0.500 0.500
0.250 0.250 0.250
```

Summary:
Excess energy over the best structure of this formula in the dataset (meV/atom): 0
Magnetic moment (μB per cell): 1.4
Calculated total energy (eV for the cell shown): -18.0